Entry from Alexandria via LeMat-Bulk: an optimized crystal structure of Er15C19 (PBE).

Computed properties:
The volume comes out at 14.70 Å³/atom. Its electronic total energy is -7.51 eV per atom. Its density of states at the Fermi level is 0.19 states/eV per atom. As for the formation energy: -345.4 meV/atom.

a = 8.074 Å, b = 8.074 Å, c = 15.334 Å
α = 90.00°, β = 90.00°, γ = 90.00°
Space group P4/mnc (No. 128)
Unique sites:
Er1 0.000 0.000 0.000 (multiplicity 2)
Er2 0.000 0.000 0.331 (multiplicity 4)
Er3 0.093 0.297 0.500 (multiplicity 8)
Er4 0.098 0.716 0.150 (multiplicity 16)
C1 0.000 0.000 0.163 (multiplicity 4)
C2 0.000 0.000 0.500 (multiplicity 2)
C3 0.096 0.303 0.329 (multiplicity 16)
C4 0.102 0.697 0.000 (multiplicity 8)
C5 0.151 0.349 0.250 (multiplicity 8)

---

Entry from Alexandria via LeMat-Bulk: an optimized crystal structure of Er3C (PBE).

Computed properties:
The volume comes out at 24.21 Å³/atom. Its electronic total energy is -5.72 eV per atom. Its density of states at the Fermi level is 1.23 states/eV per atom. As for the formation energy: 6.0 meV/atom.

a = 3.321 Å, b = 9.821 Å, c = 5.938 Å
α = 90.00°, β = 90.00°, γ = 90.00°
Space group Imm2 (No. 44)
Unique sites:
Er1 0.000 0.000 0.000 (multiplicity 2)
Er2 0.000 0.166 0.456 (multiplicity 4)
C1 0.000 0.500 0.794 (multiplicity 2)

---

Entry from Alexandria via LeMat-Bulk: an optimized crystal structure of ErC4 (PBE).

Computed properties:
The volume comes out at 17.95 Å³/atom. Its electronic total energy is -4.22 eV per atom. Its density of states at the Fermi level is 0.60 states/eV per atom. As for the formation energy: 4068.8 meV/atom.

a = 4.477 Å, b = 4.477 Å, c = 4.477 Å
α = 90.00°, β = 90.00°, γ = 90.00°
Space group Pm-3m (No. 221)
Unique sites:
Er1 0.000 0.000 0.000 (multiplicity 1)
C1 0.000 0.000 0.500 (multiplicity 3)
C2 0.500 0.500 0.500 (multiplicity 1)

---

Entry from Alexandria via LeMat-Bulk: an optimized crystal structure of Er4C (PBE).

Computed properties:
The volume comes out at 24.89 Å³/atom. Its electronic total energy is -5.53 eV per atom. Its density of states at the Fermi level is 1.13 states/eV per atom. As for the formation energy: -35.7 meV/atom.

a = 4.993 Å, b = 4.993 Å, c = 4.993 Å
α = 90.00°, β = 90.00°, γ = 90.00°
Space group Pm-3m (No. 221)
Unique sites:
Er1 0.000 0.000 0.000 (multiplicity 1)
Er2 0.000 0.500 0.500 (multiplicity 3)
C1 0.500 0.500 0.500 (multiplicity 1)

---

Entry from Alexandria via LeMat-Bulk: an optimized crystal structure of Er2C3 (PBE).

Computed properties:
The volume comes out at 13.50 Å³/atom. Its electronic total energy is -7.63 eV per atom. Its density of states at the Fermi level is 0.31 states/eV per atom. As for the formation energy: -272.9 meV/atom.

a = 8.143 Å, b = 8.143 Å, c = 8.143 Å
α = 90.00°, β = 90.00°, γ = 90.00°
Space group I-43d (No. 220)
Unique sites:
Er1 0.050 0.050 0.050 (multiplicity 16)
C1 0.000 0.250 0.293 (multiplicity 24)

---

Entry from Alexandria via LeMat-Bulk: an optimized crystal structure of Er4C3 (PBE).

Computed properties:
The volume comes out at 16.87 Å³/atom. Its electronic total energy is -6.85 eV per atom. Its density of states at the Fermi level is 0.00 states/eV per atom. As for the formation energy: -288.5 meV/atom.

a = 7.788 Å, b = 7.788 Å, c = 7.788 Å
α = 90.00°, β = 90.00°, γ = 90.00°
Space group I-43d (No. 220)
Unique sites:
Er1 0.045 0.045 0.045 (multiplicity 16)
C1 0.000 0.250 0.375 (multiplicity 12)

---

Entry from Alexandria via LeMat-Bulk: an optimized crystal structure of EuErC (PBE).

Computed properties:
The volume comes out at 25.11 Å³/atom. Its electronic total energy is -8.08 eV per atom. Its density of states at the Fermi level is 1.40 states/eV per atom. As for the formation energy: -56.6 meV/atom.

a = 3.6533 Å, b = 3.6533 Å, c = 6.5166 Å
α = 90.00°, β = 90.00°, γ = 120.00°
Space group P3m1 (No. 156)
Unique sites:
Eu1 0.0000 0.0000 0.0000 (multiplicity 1)
Er1 0.3333 0.6667 0.4176 (multiplicity 1)
C1 0.6667 0.3333 0.2472 (multiplicity 1)

---

Entry from Alexandria via LeMat-Bulk: an optimized crystal structure of EuEr2C (PBE).

Computed properties:
The volume comes out at 26.41 Å³/atom. Its electronic total energy is -7.34 eV per atom. Its density of states at the Fermi level is 0.85 states/eV per atom. As for the formation energy: -180.2 meV/atom.

a = 3.5908 Å, b = 3.5908 Å, c = 28.3787 Å
α = 90.00°, β = 90.00°, γ = 120.00°
Space group R-3m (No. 166, hexagonal axes)
Unique sites:
Eu1 0.0000 0.0000 0.0000 (multiplicity 3)
Er1 0.0000 0.0000 0.2134 (multiplicity 6)
C1 0.0000 0.0000 0.5000 (multiplicity 3)